In5Sn2: relaxed, PBE.

Values from the calculation:
For the total moment, the calculation gives 0.00 μB per cell. Its formation energy is 0.024 eV/atom. Its theoretical density is 7.0 g/cm³.

Unit cell a=4.8909 b=5.6863 c=7.9135 alpha=103.73 beta=90.00 gamma=115.47
With the nearest neighbours (Å) after each atom.
Sites, in units of the cell vectors:
In (0.3569, 0.7138, 0.0741)  5 Sn 3.27-3.54, 7 In 3.29-3.51
In (0.6431, 0.2862, 0.9259)  5 Sn 3.27-3.54, 7 In 3.29-3.51
In (0.2150, 0.4300, 0.6445)  4 Sn 3.29-3.41, 8 In 3.29-3.55
In (0.5000, 0.0000, 0.5000)  8 In 3.29-3.41, 4 Sn 3.54
In (0.7850, 0.5700, 0.3555)  4 Sn 3.29-3.41, 8 In 3.29-3.55
Sn (0.0699, 0.1397, 0.2118)  11 In 3.27-3.54, 1 Sn 3.28
Sn (0.9301, 0.8603, 0.7882)  11 In 3.27-3.54, 1 Sn 3.28

***

K2TaMn: relaxed, PBE.

Values from the calculation:
For the total moment, the calculation gives 1.02 μB per cell. Its formation energy is 1.075 eV/atom. Its theoretical density is 4.1 g/cm³.

Unit cell a=7.1298 b=7.1298 c=7.1298 alpha=154.00 beta=125.82 gamma=61.05
With the nearest neighbours (Å) after each atom.
Sites, in units of the cell vectors:
K (0.0148, 0.0148, 0.0000)  2 K 3.21
K (0.7153, 0.2153, 0.5000)  2 K 3.21
Mn (0.4533, 0.4533, 0.0000)  2 Ta 2.32
Ta (0.3166, 0.8166, 0.5000)  2 Mn 2.32

***

Ce2Pr3SmY6: relaxed, PBE.

Values from the calculation:
For the total moment, the calculation gives 2.02 μB per cell. Its formation energy is 0.046 eV/atom. Its theoretical density is 5.8 g/cm³.

Unit cell a=6.2577 b=6.2577 c=11.8589 alpha=95.04 beta=95.04 gamma=120.00
With the nearest neighbours (Å) after each atom.
Sites, in units of the cell vectors:
Ce (0.3335, 0.6665, 0.0000)  6 Y 3.54, 3 Ce 3.61, 3 Sm 3.61
Ce (0.6665, 0.3335, 0.0000)  6 Y 3.54, 3 Ce 3.61, 3 Sm 3.61
Pr (0.1661, 0.8339, 0.5000)  6 Pr 3.60-3.62, 6 Y 3.62-3.63
Pr (0.8339, 0.1661, 0.5000)  6 Pr 3.60-3.62, 6 Y 3.62-3.63
Pr (0.5000, 0.5000, 0.5000)  6 Pr 3.61-3.62, 6 Y 3.62-3.63
Sm (0.0000, 0.0000, 0.0000)  6 Y 3.56, 6 Ce 3.61
Y (0.9180, 0.5824, 0.7543)  2 Ce 3.54, 1 Sm 3.56, 6 Y 3.60-3.64, 3 Pr 3.62-3.63
Y (0.7465, 0.7465, 0.2458)  2 Ce 3.54, 1 Sm 3.56, 6 Y 3.60-3.64, 3 Pr 3.62-3.63
Y (0.0820, 0.4176, 0.2457)  2 Ce 3.54, 1 Sm 3.56, 6 Y 3.60-3.64, 3 Pr 3.62-3.63
Y (0.5824, 0.9180, 0.7543)  2 Ce 3.54, 1 Sm 3.56, 6 Y 3.60-3.64, 3 Pr 3.62-3.63
Y (0.2535, 0.2535, 0.7542)  2 Ce 3.54, 1 Sm 3.56, 6 Y 3.60-3.64, 3 Pr 3.62-3.63
Y (0.4176, 0.0820, 0.2457)  2 Ce 3.54, 1 Sm 3.56, 6 Y 3.60-3.64, 3 Pr 3.62-3.63

***

Ni2SbP: relaxed, PBE.

Values from the calculation:
For the total moment, the calculation gives 0.00 μB per cell. The energy relative to the elements, uncorrected is -171 meV/atom. Its theoretical density is 6.7 g/cm³.

Unit cell a=4.3729 b=4.3729 c=7.6808 alpha=73.46 beta=73.46 gamma=90.00
With the nearest neighbours (Å) after each atom.
Sites, in units of the cell vectors:
Sb (0.0000, 0.0000, 0.0000)  4 Ni 2.56
Sb (0.7500, 0.2500, 0.5000)  4 Ni 2.56
P (0.5000, 0.5000, 0.0000)  4 Ni 2.18
P (0.2500, 0.7500, 0.5000)  4 Ni 2.18
Ni (0.5309, 0.1250, 0.2500)  2 P 2.18
Ni (0.2191, 0.6250, 0.2500)  2 P 2.18
Ni (0.3750, 0.4691, 0.7500)  2 P 2.18
Ni (0.8750, 0.7809, 0.7500)  2 P 2.18

***

TbNdSe: relaxed, PBE.

Values from the calculation:
For the total moment, the calculation gives 0.00 μB per cell. The energy relative to the elements, uncorrected is -1109 meV/atom. Its theoretical density is 7.0 g/cm³.

Unit cell a=3.9411 b=3.9411 c=6.6952 alpha=90.00 beta=90.00 gamma=120.00
With the nearest neighbours (Å) after each atom.
Sites, in units of the cell vectors:
Nd (0.0000, 0.0000, 0.9462)  3 Se 2.98
Tb (0.6667, 0.3333, 0.3942)  3 Se 2.89
Se (0.3333, 0.6667, 0.6596)  3 Tb 2.89, 3 Nd 2.98

***

Sc4FeBr5: relaxed, PBE.

Values from the calculation:
For the total moment, the calculation gives 0.00 μB per cell. The energy relative to the elements, uncorrected is -1199 meV/atom. Its theoretical density is 4.0 g/cm³.

Unit cell a=3.6962 b=8.3205 c=8.9177 alpha=103.28 beta=101.96 gamma=90.00
With the nearest neighbours (Å) after each atom.
Sites, in units of the cell vectors:
Sc (0.6300, 0.0664, 0.2600)  1 Fe 2.20
Sc (0.0005, 0.2238, 0.0009)  2 Fe 2.62, 2 Br 2.78-2.84
Sc (0.3700, 0.9336, 0.7400)  1 Fe 2.20
Sc (0.9995, 0.7762, 0.9991)  2 Fe 2.62, 2 Br 2.78-2.84
Fe (0.5000, 0.0000, 0.0000)  2 Sc 2.20
Br (0.1640, 0.3194, 0.3280)  3 Sc 2.76-2.78
Br (0.1668, 0.8456, 0.3335)  3 Sc 2.78-2.84
Br (0.8332, 0.1544, 0.6665)  3 Sc 2.78-2.84
Br (0.5000, 0.5000, 0.0000)  4 Sc 2.95
Br (0.8360, 0.6806, 0.6720)  3 Sc 2.76-2.78

***

Sm4Ge2S: relaxed, PBE.

Values from the calculation:
For the total moment, the calculation gives 0.00 μB per cell. The energy relative to the elements, uncorrected is -1078 meV/atom. Its theoretical density is 7.3 g/cm³.

Unit cell a=7.7083 b=7.7083 c=7.7083 alpha=109.99 beta=108.43 gamma=109.99
With the nearest neighbours (Å) after each atom.
Sites, in units of the cell vectors:
Sm (0.1172, 0.8777, 0.3781)  1 S 2.85, 2 Ge 2.93-2.95
Sm (0.6219, 0.7391, 0.4996)  1 S 2.85, 2 Ge 2.93-2.95
Sm (0.9895, 0.6223, 0.7504)  1 S 2.85, 2 Ge 2.93-2.95
Sm (0.2496, 0.2391, 0.8719)  1 S 2.85, 2 Ge 2.93-2.95
Sm (0.6328, 0.7609, 0.0105)  1 S 2.85, 2 Ge 2.93-2.95
Sm (0.7605, 0.2609, 0.8828)  1 S 2.85, 2 Ge 2.93-2.95
Sm (0.5004, 0.1223, 0.2395)  1 S 2.85, 2 Ge 2.93-2.95
Sm (0.1281, 0.3777, 0.3672)  1 S 2.85, 2 Ge 2.93-2.95
Ge (0.8750, 0.1274, 0.5024)  8 Sm 2.93-3.26
Ge (0.4976, 0.3726, 0.6250)  8 Sm 2.93-3.26
Ge (0.3750, 0.8726, 0.7476)  8 Sm 2.93-3.26
Ge (0.2524, 0.6274, 0.1250)  8 Sm 2.93-3.26
S (0.0000, 0.0000, 0.0000)  4 Sm 2.85
S (0.7500, 0.5000, 0.2500)  4 Sm 2.85

***

TcAs2Ru: relaxed, PBE.

Values from the calculation:
For the total moment, the calculation gives 0.00 μB per cell. Its formation energy is 0.279 eV/atom. Its theoretical density is 8.1 g/cm³.

Unit cell a=2.8358 b=2.8358 c=10.0466 alpha=90.00 beta=90.00 gamma=118.33
With the nearest neighbours (Å) after each atom.
Sites, in units of the cell vectors:
Ru (0.0000, 0.0000, 0.5131)  2 As 2.51, 2 Tc 2.66
As (0.0000, 0.0000, 0.9422)  2 Tc 2.54, 4 As 2.84
As (0.5000, 0.5000, 0.3097)  2 Ru 2.51
Tc (0.5000, 0.5000, 0.7350)  2 As 2.54, 2 Ru 2.66, 4 Tc 2.84

***

NaLaPmCd: relaxed, PBE.

Values from the calculation:
For the total moment, the calculation gives 0.70 μB per cell. Its formation energy is -0.003 eV/atom. Its theoretical density is 5.6 g/cm³.

Unit cell a=5.5936 b=5.5936 c=5.5936 alpha=60.00 beta=60.00 gamma=60.00
With the nearest neighbours (Å) after each atom.
Sites, in units of the cell vectors:
Cd (0.7500, 0.7500, 0.7500)  4 La 3.43, 4 Pm 3.43
La (0.0000, 0.0000, 0.0000)  4 Na 3.43, 4 Cd 3.43
Na (0.2500, 0.2500, 0.2500)  4 Pm 3.43, 4 La 3.43
Pm (0.5000, 0.5000, 0.5000)  4 Cd 3.43, 4 Na 3.43

***

SrAs2Se: relaxed, PBE.

Values from the calculation:
For the total moment, the calculation gives 0.00 μB per cell. The energy relative to the elements, uncorrected is -313 meV/atom. Its theoretical density is 5.1 g/cm³.

Unit cell a=8.3634 b=8.3634 c=6.6184 alpha=50.82 beta=50.82 gamma=90.00
With the nearest neighbours (Å) after each atom.
Sites, in units of the cell vectors:
Sr (0.0000, 0.0000, 0.0000)  2 Se 2.97, 4 As 3.25
Sr (0.7500, 0.2500, 0.5000)  2 Se 2.97, 4 As 3.25
As (0.5904, 0.1250, 0.2500)  2 Se 2.86, 2 As 3.03
As (0.1596, 0.6250, 0.2500)  2 Se 2.86, 2 As 3.03
As (0.3750, 0.4096, 0.7500)  2 Se 2.86, 2 As 3.03
As (0.8750, 0.8404, 0.7500)  2 Se 2.86, 2 As 3.03
Se (0.5000, 0.5000, 0.0000)  4 As 2.86, 2 Sr 2.97
Se (0.2500, 0.7500, 0.5000)  4 As 2.86, 2 Sr 2.97

***

CsNaTl3: relaxed, PBE.

Values from the calculation:
For the total moment, the calculation gives 0.00 μB per cell. Its formation energy is 0.140 eV/atom. Its theoretical density is 6.1 g/cm³.

Unit cell a=5.9367 b=5.9367 c=5.9367 alpha=90.00 beta=90.00 gamma=90.00
With the nearest neighbours (Å) after each atom.
Sites, in units of the cell vectors:
Cs (0.5000, 0.5000, 0.5000)  12 Tl 4.20
Na (0.0000, 0.0000, 0.0000)  6 Tl 2.97
Tl (0.0000, 0.5000, 0.0000)  2 Na 2.97
Tl (0.0000, 0.0000, 0.5000)  2 Na 2.97
Tl (0.5000, 0.0000, 0.0000)  2 Na 2.97

***

PC: relaxed, PBE.

Values from the calculation:
For the total moment, the calculation gives 0.00 μB per cell. Its formation energy is 0.959 eV/atom. Its theoretical density is 3.3 g/cm³.

Unit cell a=5.4916 b=5.4916 c=2.8670 alpha=90.00 beta=90.00 gamma=90.00
With the nearest neighbours (Å) after each atom.
Sites, in units of the cell vectors:
P (0.3261, 0.3261, 0.0000)  4 C 1.85-1.92
P (0.8261, 0.1739, 0.5000)  4 C 1.85-1.92
P (0.1739, 0.8261, 0.5000)  4 C 1.85-1.92
P (0.6739, 0.6739, 0.0000)  4 C 1.85-1.92
C (0.3240, 0.6760, 0.0000)  4 P 1.85-1.92
C (0.8240, 0.8240, 0.5000)  4 P 1.85-1.92
C (0.1761, 0.1761, 0.5000)  4 P 1.85-1.92
C (0.6760, 0.3240, 0.0000)  4 P 1.85-1.92

***

Cd3ReI: relaxed, PBE.

Values from the calculation:
For the total moment, the calculation gives 3.21 μB per cell. The energy relative to the elements, uncorrected is 867 meV/atom. Its theoretical density is 6.6 g/cm³.

Unit cell a=5.4755 b=5.4755 c=5.4755 alpha=90.00 beta=90.00 gamma=90.00
With the nearest neighbours (Å) after each atom.
Sites, in units of the cell vectors:
I (0.5000, 0.5000, 0.5000)  12 Cd 3.87
Re (0.0000, 0.0000, 0.0000)  6 Cd 2.74
Cd (0.0000, 0.5000, 0.0000)  2 Re 2.74
Cd (0.0000, 0.0000, 0.5000)  2 Re 2.74
Cd (0.5000, 0.0000, 0.0000)  2 Re 2.74